Record 1
## SrBi2Pb (PBE-GGA)

Data for crystalline SrBi2Pb at its relaxed geometry.

Geometry as extended XYZ:
```
8
Lattice="-1.626 -0.545 -9.013 8.414 -3.415 -1.311 2.172 -5.150 -4.750" Properties=species:S:1:pos:R:3 pbc="T T T"
Pb 0.000 0.000 0.000
Pb 1.970 -3.838 -9.463
Sr 3.394 -1.980 -5.162
Sr 6.990 -5.273 -5.612
Bi 0.548 -2.065 -7.153
Bi 5.629 -3.480 -2.965
Bi 4.017 -5.284 -7.410
Bi 7.725 -7.391 -12.620
```

Computed properties:
The calculation puts the magnetic moment at 0.000 μB per atom. The formation energy comes out at -109.9 kJ/mol of formula units. For the calculated volume, the calculation gives 288 Å³ per cell.

=====

Record 2
## Sr6BiPb2 (PBE-GGA)

Data for crystalline Sr6BiPb2 at its relaxed geometry.

Geometry as extended XYZ:
```
18
Lattice="7.581 0.000 0.339 0.000 9.221 0.000 -0.451 0.000 11.442" Properties=species:S:1:pos:R:3 pbc="T T T"
Sr 6.462 8.711 3.011
Sr 6.111 6.244 6.703
Sr 6.023 6.256 10.895
Sr 4.672 1.646 6.777
Sr 4.584 1.633 10.969
Sr 4.684 4.100 3.219
Sr 0.668 0.510 8.770
Sr 1.019 2.977 5.078
Sr 1.107 2.965 0.887
Sr 2.458 7.575 5.004
Sr 2.546 7.588 0.812
Sr 2.446 5.121 8.563
Bi 3.790 4.611 0.170
Bi -0.226 0.000 5.721
Pb 6.930 3.655 8.810
Pb 3.764 8.266 8.862
Pb 3.365 0.955 2.920
Pb 0.199 5.566 2.971
```

Computed properties:
The calculation puts the magnetic moment at 0.098 μB per atom. The formation energy comes out at -412.2 kJ/mol of formula units. For the calculated volume, the calculation gives 801 Å³ per cell.

=====

Record 3
## Sr2BiPb (PBE-GGA)

Data for crystalline Sr2BiPb at its relaxed geometry.

Geometry as extended XYZ:
```
4
Lattice="0.000 4.145 4.145 4.145 0.000 4.145 4.145 4.145 0.000" Properties=species:S:1:pos:R:3 pbc="T T T"
Pb 0.000 0.000 0.000
Sr 2.073 2.073 2.073
Sr 6.218 6.218 6.218
Bi 4.145 4.145 4.145
```

Computed properties:
The calculation puts the magnetic moment at 0.000 μB per atom. The formation energy comes out at -232.5 kJ/mol of formula units. For the calculated volume, the calculation gives 142 Å³ per cell. The offset from the most stable computed form comes out at 4.1 kJ/mol of atoms.

=====

Record 4
## SrBi7Pb12 (PBE-GGA)

Data for crystalline SrBi7Pb12 at its relaxed geometry.

Geometry as extended XYZ:
```
20
Lattice="-5.336 -5.311 -5.290 7.433 -5.372 3.230 -3.241 -7.420 5.383" Properties=species:S:1:pos:R:3 pbc="T T T"
Sr 0.000 0.000 0.000
Bi -3.557 -6.733 -2.678
Bi -0.518 -12.451 -0.628
Bi -1.828 -10.040 3.608
Bi -2.668 -2.655 -2.645
Bi 0.684 -8.062 -0.285
Bi -0.626 -5.652 3.951
Bi 2.412 -11.370 6.001
Pb -1.783 -9.361 -2.107
Pb -1.085 -14.223 2.002
Pb -0.680 -5.334 -1.866
Pb 3.988 -10.012 3.267
Pb 0.792 -10.619 1.826
Pb -3.240 -10.863 0.742
Pb 2.095 -7.240 2.582
Pb -1.937 -7.484 1.498
Pb -5.133 -8.090 0.057
Pb -0.464 -12.769 5.190
Pb -0.059 -3.880 1.321
Pb 0.639 -8.742 5.431
```

Computed properties:
The calculation puts the magnetic moment at 0.000 μB per atom. The formation energy comes out at -77.7 kJ/mol of formula units. For the calculated volume, the calculation gives 678 Å³ per cell.

=====

Record 5
## Sr2BiPb (PBE-GGA)

Data for crystalline Sr2BiPb at its relaxed geometry.

Geometry as extended XYZ:
```
8
Lattice="-7.796 4.565 1.220 -4.615 -6.852 -3.854 -6.617 -2.736 2.009" Properties=species:S:1:pos:R:3 pbc="T T T"
Pb -6.205 -1.144 -1.317
Pb -8.719 -5.366 -1.581
Sr -7.167 1.349 0.793
Sr -5.450 -4.433 -1.764
Sr -9.580 -2.854 0.550
Sr -15.860 -4.109 -0.829
Bi 0.000 0.000 0.000
Bi -10.309 0.342 0.956
```

Computed properties:
The calculation puts the magnetic moment at 0.000 μB per atom. The formation energy comes out at -152.5 kJ/mol of formula units. For the calculated volume, the calculation gives 308 Å³ per cell. The offset from the most stable computed form comes out at 24.1 kJ/mol of atoms.

=====

Record 6
## SrBi2Pb (PBE-GGA)

Data for crystalline SrBi2Pb at its relaxed geometry.

Geometry as extended XYZ:
```
8
Lattice="-6.209 -2.824 1.939 3.048 2.268 5.987 -3.386 5.071 3.620" Properties=species:S:1:pos:R:3 pbc="T T T"
Sr -1.777 4.371 4.212
Sr 1.440 2.969 5.395
Bi -4.890 3.138 5.416
Bi -0.399 5.298 7.358
Bi -6.148 -0.783 4.188
Bi -1.656 1.378 6.130
Pb -3.189 0.423 3.371
Pb -3.358 4.093 8.175
```

Computed properties:
The calculation puts the magnetic moment at 0.000 μB per atom. The formation energy comes out at -144.2 kJ/mol of formula units. For the calculated volume, the calculation gives 271 Å³ per cell.

=====

Record 7
## Sr5BiPb2 (PBE-GGA)

Data for crystalline Sr5BiPb2 at its relaxed geometry.

Geometry as extended XYZ:
```
16
Lattice="7.947 0.000 -3.752 -1.771 7.747 -3.752 -0.057 -0.072 10.172" Properties=species:S:1:pos:R:3 pbc="T T T"
Sr 2.889 5.278 2.682
Sr 4.705 7.557 -3.764
Sr 0.000 0.000 0.000
Sr 3.088 3.874 -3.752
Sr 1.414 0.119 6.433
Sr 5.093 1.405 3.935
Sr -0.791 3.993 5.180
Sr 1.026 6.271 -1.266
Sr 6.910 3.683 -2.511
Sr 3.230 2.397 -0.013
Bi 4.604 5.775 -0.541
Bi 1.515 1.901 3.210
Pb 0.359 2.882 -1.876
Pb 4.764 0.992 -2.836
Pb 1.412 6.755 -4.667
Pb 5.818 4.866 -5.627
```

Computed properties:
The calculation puts the magnetic moment at 0.098 μB per atom. The formation energy comes out at -502.8 kJ/mol of formula units. For the calculated volume, the calculation gives 622 Å³ per cell.

=====

Record 8
## Sr4Bi7Pb5 (PBE-GGA)

Data for crystalline Sr4Bi7Pb5 at its relaxed geometry.

Geometry as extended XYZ:
```
16
Lattice="6.671 0.000 -1.728 -0.447 6.656 -1.728 -0.392 -0.419 12.231" Properties=species:S:1:pos:R:3 pbc="T T T"
Sr 0.600 0.641 8.843
Sr 3.555 3.802 7.202
Sr 5.445 2.435 0.754
Sr 2.064 5.596 0.754
Bi 5.499 5.881 0.209
Bi 2.202 2.355 2.039
Bi 0.096 3.882 7.652
Bi 3.867 0.356 7.652
Bi 3.112 3.328 -1.728
Bi 3.336 0.000 -0.864
Bi -0.224 3.328 -0.864
Pb 4.486 4.797 3.576
Pb 1.347 1.440 5.199
Pb 1.136 4.783 4.388
Pb 4.696 1.455 4.388
Pb 0.000 0.000 0.000
```

Computed properties:
The calculation puts the magnetic moment at 0.000 μB per atom. The formation energy comes out at -570.8 kJ/mol of formula units. For the calculated volume, the calculation gives 534 Å³ per cell.

=====

Record 9
## Sr8Bi5Pb (PBE-GGA)

Data for crystalline Sr8Bi5Pb at its relaxed geometry.

Geometry as extended XYZ:
```
14
Lattice="8.359 0.000 -2.941 -4.139 7.255 -2.960 -0.081 0.000 8.861" Properties=species:S:1:pos:R:3 pbc="T T T"
Sr -2.074 5.486 -2.343
Sr 7.648 0.700 3.295
Sr 5.300 1.768 0.298
Sr 3.601 2.841 4.749
Sr 1.519 4.414 -1.087
Sr 1.452 6.555 3.213
Sr 1.251 1.769 1.755
Sr -2.144 5.487 1.960
Bi -1.484 2.753 0.000
Bi 3.601 6.391 -2.959
Bi 3.659 4.502 1.555
Bi 4.139 0.000 2.960
Bi 2.502 0.863 7.324
Pb -0.041 3.627 4.430
```

Computed properties:
The calculation puts the magnetic moment at 0.000 μB per atom. The formation energy comes out at -1091.7 kJ/mol of formula units. For the calculated volume, the calculation gives 536 Å³ per cell.

=====

Record 10
## SrBiPb (PBE-GGA)

Data for crystalline SrBiPb at its relaxed geometry.

Geometry as extended XYZ:
```
12
Lattice="-4.697 -6.250 -1.646 3.182 -7.075 1.911 -2.749 7.218 7.765" Properties=species:S:1:pos:R:3 pbc="T T T"
Sr -2.691 0.426 6.060
Sr -1.573 -6.534 1.969
Sr -4.918 -2.718 4.963
Sr -3.286 -2.977 1.288
Bi -4.401 -5.478 3.178
Bi -1.056 -9.293 0.184
Bi -3.803 -0.217 3.073
Bi -0.458 -4.033 0.080
Pb 0.136 -1.559 7.290
Pb -0.081 -1.630 2.452
Pb -2.213 -4.684 6.467
Pb 1.510 -5.168 3.407
```

Computed properties:
The calculation puts the magnetic moment at 0.000 μB per atom. The formation energy comes out at -62.7 kJ/mol of formula units. For the calculated volume, the calculation gives 504 Å³ per cell. The offset from the most stable computed form comes out at 26.4 kJ/mol of atoms.

=====

Record 11
## SrBi4Pb (PBE-GGA)

Data for crystalline SrBi4Pb at its relaxed geometry.

Geometry as extended XYZ:
```
6
Lattice="-2.212 4.093 -4.760 0.006 -1.976 -6.355 -5.753 -1.290 -3.089" Properties=species:S:1:pos:R:3 pbc="T T T"
Pb 0.000 0.000 0.000
Sr -1.990 0.207 -3.551
Bi -2.088 1.165 -7.334
Bi -4.982 1.510 -5.693
Bi -4.979 0.517 -8.887
Bi -3.868 -1.540 -6.495
```

Computed properties:
The calculation puts the magnetic moment at 0.000 μB per atom. The formation energy comes out at -80.8 kJ/mol of formula units. For the calculated volume, the calculation gives 208 Å³ per cell.